Compound: LaNdEuPb
Source: Alexandria
Functional: PBE
Structure: relaxed

Cell lengths 8.071, 8.071, 8.071 Å; angles 90.00, 90.00, 90.00 degrees
Space group F-43m (No. 216)
One atom of each set of equivalent atoms:
La 0.000 0.000 0.000 x4
Nd 0.000 0.000 0.500 x4
Eu 0.250 0.250 0.750 x4
Pb 0.250 0.250 0.250 x4

Calculated values
- DFT formation energy (eV per formula unit) = -0.84
- D(E_F) (states/eV per atom) = 1.540